Entry from Alexandria via LeMat-Bulk: an optimized crystal structure of CsVF5 (GGA+U).

a b c (Å): 11.539 8.372 7.876
angles (deg): 90.00 133.02 90.00
Space group C2/c (No. 15)
Inequivalent atoms, fractional coordinates:
Cs 0.000 0.020 0.250 x4
V 0.000 0.500 0.000 x4
F 0.000 0.467 0.250 x4
F 0.004 0.281 0.976 x8
F 0.219 0.497 0.219 x8

Output
- DOS at the Fermi energy: 0.000 states/eV per atom
- E: -5.352 eV/atom